Below is a geometry-optimized CuTc2Au structure, with properties calculated at the GGA-PBE level.

Output
Formation enthalpy at 0 K: 112 meV/atom
Offset from the most stable computed form: 0 meV per atom
Magnetization: 0.0 μB per formula unit
Symmetry: R3m, No. 160

a = 9.205 Å, b = 9.205 Å, c = 9.205 Å
α = 17.30°, β = 17.30°, γ = 17.30°
Positions (direct):
Au 0.498 0.498 0.498
Cu 0.747 0.747 0.747
Tc 0.999 0.999 0.999
Tc 0.257 0.257 0.257